No. 1
Density functional theory data (PBE-GGA) for a relaxed structure of NbCu2Bi.

It has space group F-43m (No. 216), with a = 6.576 Å, b = 6.576 Å, c = 6.576 Å, α = 90.00°, β = 90.00° and γ = 90.00°. The inequivalent atoms are Nb at (0.000, 0.000, 0.000), Cu at (0.000, 0.000, 0.500), Cu at (0.250, 0.250, 0.250) and Bi at (0.250, 0.250, 0.750).

As for the electronic total energy: -4.875 eV/atom.

=====

No. 2
Density functional theory data (PBE-GGA) for a relaxed structure of NbCuBi.

It has space group F-43m (No. 216), with a = 6.513 Å, b = 6.513 Å, c = 6.513 Å, α = 90.00°, β = 90.00° and γ = 90.00°. The inequivalent atoms are Nb at (0.000, 0.000, 0.000), Cu at (0.250, 0.250, 0.250) and Bi at (0.250, 0.250, 0.750).

As for the electronic total energy: -5.277 eV/atom.

=====

No. 3
Density functional theory data (PBE-GGA) for a relaxed structure of NbCuBi2.

It has space group F-43m (No. 216), with a = 7.152 Å, b = 7.152 Å, c = 7.152 Å, α = 90.00°, β = 90.00° and γ = 90.00°. The inequivalent atoms are Nb at (0.000, 0.000, 0.000), Cu at (0.250, 0.250, 0.250), Bi at (0.000, 0.000, 0.500) and Bi at (0.250, 0.250, 0.750).

As for the electronic total energy: -4.750 eV/atom.

=====

No. 4
Density functional theory data (PBE-GGA) for a relaxed structure of NbCuNiBi.

It has space group F-43m (No. 216), with a = 6.460 Å, b = 6.460 Å, c = 6.460 Å, α = 90.00°, β = 90.00° and γ = 90.00°. The inequivalent atoms are Nb at (0.000, 0.000, 0.000), Cu at (0.250, 0.250, 0.750), Ni at (0.250, 0.250, 0.250) and Bi at (0.000, 0.000, 0.500).

The relative energy among the computed polymorphs is 0 meV/atom. As for the electronic total energy: -5.476 eV/atom.

=====

What is the electronic total energy in the second record? -5.277 eV/atom